No. 1
This record from Alexandria describes crystalline Sr2LiRe at its relaxed geometry. The functional is PBEsol.

```
Sr2LiRe
1.0
4.576 0.000 0.000
0.000 4.576 0.000
0.000 0.000 9.619
Sr Li Re
4 2 2
Direct
0.000 0.000 0.000 Sr
0.000 0.500 0.250 Sr
0.500 0.000 0.750 Sr
0.500 0.500 0.500 Sr
0.000 0.000 0.500 Li
0.500 0.500 0.000 Li
0.000 0.500 0.750 Re
0.500 0.000 0.250 Re
```

Properties
DFT total energy, eV per atom: -3.728
Magnetization, Bohr magnetons per cell: 2.74
Formation energy, eV per atom: 1.02


No. 2
This record from Alexandria describes crystalline Li2Cd3 at its relaxed geometry. The functional is PBEsol.

```
Li2Cd3
1.0
0.000 7.009 2.648
4.912 0.000 2.648
4.912 7.009 0.000
Li Cd
4 6
Direct
0.020 0.480 0.081 Li
0.169 0.831 0.230 Li
0.480 0.020 0.419 Li
0.831 0.169 0.770 Li
0.048 0.048 0.952 Cd
0.298 0.298 0.202 Cd
0.472 0.593 0.320 Cd
0.593 0.472 0.615 Cd
0.635 0.930 0.657 Cd
0.930 0.635 0.778 Cd
```

Properties
DFT total energy, eV per atom: -1.713
Magnetization, Bohr magnetons per cell: 0.00
Formation energy, eV per atom: -0.21